A PBEsol-optimized structure of PIrCl. Source: Alexandria via LeMat-Bulk, functional SCAN.

Lattice parameters (Å, degrees): 6.093 6.090 2.942 76.09 75.97 27.95
Element x y z (fractional)
P  0.000  0.000  0.000
Ir  0.392  0.392  0.608
Cl  0.725  0.725  0.275

For the energy above the most stable polymorph in this dataset, the calculation gives 0.519 eV per atom. The uncorrected energy is -29.6448 eV/atom. The uncorrected formation energy is 180 meV per atom.